{
  "formula": "LiTbTh2P4",
  "functional": "PBE",
  "state": "relaxed",
  "sg": "P2/m",
  "mass_density_g_cm3": 6.45,
  "volume_a3_per_atom": 24.2,
  "formation_energy_ev_per_atom": -1.24,
  "lattice_angstrom": [[6.930, 0.000, 0.000], [0.000, 4.153, 0.000], [-2.431, 0.000, 6.738]],
  "species": ["Li", "Tb", "Th", "Th", "P", "P", "P", "P"],
  "frac_coords": [[0.000, 0.000, 0.000], [0.000, 0.500, 0.500], [0.500, 0.000, 0.500], [0.500, 0.500, 0.000], [0.246, 0.000, 0.749], [0.254, 0.500, 0.254], [0.746, 0.500, 0.746], [0.754, 0.000, 0.251]]
}